The following is a DFT calculation (GGA-PBE) of an optimized crystal structure of Mg2PbBr.

```
Mg2PbBr
1.0
-1.330 -0.544 -6.612
-6.216 -2.256 1.435
-5.861 4.322 -2.639
Pb Mg Br
2 4 2
Direct
0.000 0.000 0.000 Pb
0.750 0.250 0.500 Pb
0.620 0.125 0.250 Mg
0.130 0.625 0.250 Mg
0.375 0.380 0.750 Mg
0.875 0.870 0.750 Mg
0.500 0.500 0.000 Br
0.250 0.750 0.500 Br
```

Values from the calculation:
V in Å³ per atom: 34.9
Size of the total moment in μB/f.u.: 0.0
ΔE to the lowest computed polymorph in meV/atom: 200
Uncorrected formation energy in kcal/mol of atoms: -5.137
Symmetry: No. 122